DFT (PBEsol) results for a relaxed BaLiRhN2 crystal.

Geometry as POSCAR:
```
BaLiRhN2
1.0
-1.196 -3.897 -0.763
3.982 -1.280 0.299
-0.517 -0.646 4.111
N Ba Rh Li
2 1 1 1
Direct
0.000 0.500 0.000
0.000 0.000 0.500
0.500 0.500 0.500
0.500 0.000 0.000
0.000 0.000 0.000
```

Crystal system: tetragonal
Raw total energy: -4.759 eV per atom
Uncorrected formation energy: 1.102 eV per atom

---

DFT (PBEsol) results for a relaxed Ba2Na2Li crystal.

Geometry as POSCAR:
```
Ba2Na2Li
1.0
-4.112 -4.381 -0.113
5.330 -4.884 -4.569
3.238 -3.226 7.227
Ba Na Li
4 4 2
Direct
0.500 0.679 0.821
0.500 0.821 0.321
0.500 0.179 0.679
0.500 0.321 0.179
0.000 0.865 0.635
0.000 0.365 0.865
0.000 0.135 0.365
0.000 0.635 0.135
0.000 0.000 0.000
0.000 0.500 0.500
```

Crystal system: tetragonal
Formation energy from the elements: 0.07 eV per atom
Raw total energy: -1.743 eV per atom

---

Question: Which value of raw total energy does entry 1 give?
Answer: -4.759 eV per atom